Record 1
Rb2Cr2O7: relaxed, PBE+U.

a = 7.930 Å, b = 7.930 Å, c = 7.863 Å
α = 90.00°, β = 90.00°, γ = 59.18°
Fractional coordinates of all 22 atoms:
Rb: 0.000 0.706 0.852
Rb: 0.294 0.000 0.648
Rb: 0.000 0.294 0.148
Rb: 0.706 0.000 0.352
Cr: 0.576 0.223 0.857
Cr: 0.777 0.424 0.643
Cr: 0.424 0.777 0.143
Cr: 0.223 0.576 0.357
O: 0.579 0.421 0.750
O: 0.421 0.579 0.250
O: 0.636 0.045 0.721
O: 0.955 0.364 0.779
O: 0.364 0.955 0.279
O: 0.045 0.636 0.221
O: 0.356 0.302 0.930
O: 0.698 0.644 0.570
O: 0.140 0.738 0.512
O: 0.262 0.860 0.988
O: 0.860 0.262 0.488
O: 0.738 0.140 0.012
O: 0.302 0.356 0.430
O: 0.644 0.698 0.070

Summary:
density of states at the Fermi level: 0.00 states/eV per cell
V: 212 Å³/f.u.
space group: C2/c, No. 15
E: -6.211 eV/atom


Record 2
RbCrO2: relaxed, PBE+U.

a = 4.315 Å, b = 4.315 Å, c = 4.315 Å
α = 60.00°, β = 60.00°, γ = 60.00°
Site moments in Bohr magnetons follow the coordinates.
Fractional coordinates of all 4 atoms:
Cr: 0.000 0.000 0.000  3.93
O: 0.250 0.250 0.250  -0.52
O: 0.750 0.750 0.750  -0.52
Rb: 0.500 0.500 0.500  0.01

Summary:
density of states at the Fermi level: 2.41 states/eV per cell
V: 57 Å³/f.u.
space group: Fm-3m, No. 225
E: -4.904 eV/atom


Record 3
Rb3Cr5O12: relaxed, PBE+U.

a = 11.345 Å, b = 11.345 Å, c = 11.345 Å
α = 109.47°, β = 109.47°, γ = 109.47°
Site moments in Bohr magnetons follow the coordinates.
Fractional coordinates of all 80 atoms:
Rb: 0.750 0.375 0.125  -0.01
Rb: 0.875 0.750 0.125  -0.01
Rb: 0.375 0.750 0.625  -0.01
Rb: 0.250 0.125 0.375  -0.01
Rb: 0.875 0.125 0.250  -0.01
Rb: 0.375 0.625 0.250  -0.01
Rb: 0.625 0.375 0.750  -0.01
Rb: 0.125 0.875 0.750  -0.01
Rb: 0.750 0.875 0.625  -0.01
Rb: 0.625 0.250 0.375  -0.01
Rb: 0.125 0.250 0.875  -0.01
Rb: 0.250 0.625 0.875  -0.01
Cr: 0.125 0.375 0.250  1.23
Cr: 0.000 0.500 0.000  3.10
Cr: 0.000 0.000 0.000  3.10
Cr: 0.375 0.250 0.125  1.23
Cr: 0.500 0.000 0.500  3.10
Cr: 0.500 0.500 0.000  3.10
Cr: 0.125 0.750 0.375  1.23
Cr: 0.750 0.125 0.875  1.23
Cr: 0.750 0.625 0.375  1.23
Cr: 0.375 0.125 0.750  1.23
Cr: 0.625 0.875 0.250  1.23
Cr: 0.500 0.500 0.500  3.10
Cr: 0.500 0.000 0.000  3.10
Cr: 0.000 0.000 0.500  3.10
Cr: 0.250 0.375 0.625  1.23
Cr: 0.250 0.875 0.125  1.23
Cr: 0.000 0.500 0.500  3.10
Cr: 0.875 0.250 0.625  1.23
Cr: 0.625 0.750 0.875  1.23
Cr: 0.875 0.625 0.750  1.23
O: 0.685 0.102 0.989  -0.09
O: 0.305 0.489 0.388  -0.09
O: 0.011 0.398 0.315  -0.09
O: 0.489 0.185 0.102  -0.09
O: 0.583 0.685 0.695  -0.09
O: 0.011 0.612 0.195  -0.09
O: 0.305 0.815 0.417  -0.09
O: 0.112 0.917 0.102  -0.09
O: 0.612 0.011 0.695  -0.09
O: 0.685 0.583 0.195  -0.09
O: 0.815 0.511 0.398  -0.09
O: 0.805 0.888 0.989  -0.09
O: 0.102 0.685 0.489  -0.09
O: 0.398 0.388 0.083  -0.09
O: 0.083 0.888 0.398  -0.09
O: 0.417 0.102 0.612  -0.09
O: 0.083 0.195 0.185  -0.09
O: 0.511 0.695 0.112  -0.09
O: 0.805 0.917 0.315  -0.09
O: 0.102 0.417 0.112  -0.09
O: 0.398 0.011 0.815  -0.09
O: 0.612 0.602 0.417  -0.09
O: 0.888 0.805 0.489  -0.09
O: 0.815 0.305 0.917  -0.09
O: 0.388 0.398 0.583  -0.09
O: 0.112 0.195 0.511  -0.09
O: 0.185 0.695 0.083  -0.09
O: 0.195 0.083 0.685  -0.09
O: 0.602 0.989 0.185  -0.09
O: 0.898 0.583 0.888  -0.09
O: 0.489 0.305 0.888  -0.09
O: 0.583 0.898 0.388  -0.09
O: 0.917 0.805 0.815  -0.09
O: 0.917 0.112 0.602  -0.09
O: 0.898 0.315 0.511  -0.09
O: 0.195 0.112 0.011  -0.09
O: 0.602 0.612 0.917  -0.09
O: 0.388 0.989 0.305  -0.09
O: 0.315 0.417 0.805  -0.09
O: 0.185 0.489 0.602  -0.09
O: 0.888 0.083 0.898  -0.09
O: 0.695 0.185 0.583  -0.09
O: 0.511 0.815 0.898  -0.09
O: 0.989 0.388 0.805  -0.09
O: 0.417 0.315 0.305  -0.09
O: 0.989 0.602 0.685  -0.09
O: 0.695 0.511 0.612  -0.09
O: 0.315 0.898 0.011  -0.09

Summary:
V: 281 Å³/f.u.
space group: Ia-3d, No. 230
E: -6.506 eV/atom


Record 4
RbCrO2: relaxed, PBE+U.

a = 6.529 Å, b = 6.529 Å, c = 6.529 Å
α = 28.12°, β = 28.12°, γ = 28.12°
Site moments in Bohr magnetons follow the coordinates.
Fractional coordinates of all 4 atoms:
Cr: 0.500 0.500 0.500  3.04
O: 0.220 0.220 0.220  -0.06
O: 0.780 0.780 0.780  -0.06
Rb: 0.000 0.000 0.000  0.00

Summary:
density of states at the Fermi level: 0.00 states/eV per cell
V: 55 Å³/f.u.
space group: R-3m, No. 166
E: -6.266 eV/atom